Entry from OQMD via LeMat-Bulk: a relaxed structure of La3Mg3Ir2Pt (PBE).

Cell: 7.5641 7.5641 4.1544 Å, 90.00 90.00 120.00°
Space group P-62m (No. 189)
Symmetry-distinct sites (fractional):
La (0.0000, 0.5811, 0.0000) x3
Mg (0.0000, 0.2391, 0.5000) x3
Ir (0.3333, 0.6667, 0.5000) x2
Pt (0.0000, 0.0000, 0.0000) x1

Results
Calculated volume (A^3/atom): 22.9
Total moment (μB per cell): 0.01
Crystal system: hexagonal
Electronic total energy (eV for the cell shown): -49.87